## PaFeGe2 (GGA-PBE)

Data for PaFeGe2 after structural relaxation.

Values from the calculation:
Density (g/cm3): 10.565
Volume (A^3/atom): 16.98
E_form (eV/atom): -0.071
E_tot (eV/f.u.): -27.48
N(E_F) (states/eV/atom): 1.54

POSCAR file:
```
PaFeGe2
1.0
3.1201 0.0000 0.0000
0.0000 3.1201 0.0000
0.0000 0.0000 6.9772
Pa Fe Ge
1 1 2
direct
0.0000 0.0000 0.0000
0.0000 0.0000 0.5000
0.5000 0.5000 0.3057
0.5000 0.5000 0.6943
```